Record 1
Na6VF8 | PBE with a Hubbard U | relaxed

Geometry as extended XYZ:
```
15
Lattice="5.750 0.000 3.320 1.917 5.421 3.320 0.000 0.000 6.640" Properties=species:S:1:pos:R:3 pbc="T T T"
Na 0.958 2.711 4.980
Na 2.875 0.000 1.660
Na 3.833 2.711 3.320
Na 0.000 0.000 3.320
Na 0.958 2.711 1.660
Na 2.875 0.000 4.980
V 0.000 0.000 0.000
F 5.750 4.066 9.960
F 1.917 1.355 3.320
F 4.886 1.222 4.817
F 2.781 4.199 8.462
F 1.729 1.222 6.640
F 5.938 4.199 6.640
F 4.886 1.222 8.462
F 2.781 4.199 4.817
```

Results
size of the total moment: 3.000 μB per formula unit
calculated total energy: -71.2 eV per cell

=====

Record 2
Na3VF6 | PBE with a Hubbard U | relaxed

Geometry as extended XYZ:
```
20
Lattice="-1.964 -2.437 -4.913 4.594 -3.162 -0.268 0.810 -8.860 4.071" Properties=species:S:1:pos:R:3 pbc="T T T"
Na 2.432 -5.929 -1.892
Na 1.353 -3.169 0.624
Na 1.007 -8.530 0.782
Na 2.087 -11.291 -1.734
Na 1.315 -2.799 -2.591
Na 2.702 -6.011 1.902
V -0.577 -5.649 -0.421
V 0.000 0.000 0.000
F 3.500 -8.030 1.057
F 0.459 -10.718 0.153
F -0.060 -6.429 -2.167
F 2.981 -3.741 -1.263
F 1.307 -5.812 0.154
F 1.456 -4.556 -3.982
F 2.133 -8.648 -1.265
F 1.984 -9.904 2.872
F 0.984 -7.322 2.824
F 3.607 -10.641 -0.032
F 2.456 -7.137 -3.934
F -0.168 -3.818 -1.078
```

Results
size of the total moment: 2.000 μB per formula unit
energy relative to the lowest polymorph listed for this composition: 0.000 eV per atom
calculated total energy: -102.5 eV per cell

=====

Record 3
NaV3F9 | PBE with a Hubbard U | relaxed

Geometry as extended XYZ:
```
13
Lattice="-1.119 1.236 3.602 -7.082 -2.443 -1.362 5.094 -4.677 3.187" Properties=species:S:1:pos:R:3 pbc="T T T"
Na 0.000 0.000 0.000
V 1.987 -1.721 3.394
V -4.101 -0.604 1.120
V -1.554 -2.942 2.713
F 2.547 -2.339 1.594
F 0.060 -1.737 2.801
F 2.104 -3.614 4.080
F -0.738 -4.594 3.533
F -3.541 -1.222 -0.681
F -2.370 -1.291 1.893
F -0.994 -3.560 0.912
F -5.212 -2.271 1.346
F -3.168 -4.148 2.625
```

Results
size of the total moment: 7.000 μB per formula unit
calculated total energy: -76.5 eV per cell

=====

Record 4
Na2VF | PBE with a Hubbard U | relaxed

Geometry as extended XYZ:
```
8
Lattice="6.900 0.000 0.000 0.000 6.900 0.000 3.450 3.450 4.403" Properties=species:S:1:pos:R:3 pbc="T T T"
Na 4.150 1.725 1.101
Na 2.750 5.175 1.101
Na 5.175 6.200 3.302
Na 8.625 7.600 3.302
V 0.000 0.000 0.000
V 6.900 3.450 2.201
F 3.450 3.450 0.000
F 3.450 6.900 2.201
```

Results
size of the total moment: 4.229 μB per formula unit
energy relative to the lowest polymorph listed for this composition: 0.000 eV per atom
calculated total energy: -27.5 eV per cell

=====

Record 5
NaVW2F | PBE with a Hubbard U | relaxed

Geometry as extended XYZ:
```
5
Lattice="5.422 0.000 0.000 0.000 4.078 0.000 0.000 0.000 5.422" Properties=species:S:1:pos:R:3 pbc="T T T"
Na 2.711 2.039 2.711
F 0.000 2.039 0.000
W 0.000 0.000 2.711
W 2.711 0.000 0.000
V 0.000 0.000 0.000
```

Results
size of the total moment: 5.198 μB per formula unit
calculated total energy: -20.1 eV per cell

=====

Record 6
Na2VZnF | PBE with a Hubbard U | relaxed

Geometry as extended XYZ:
```
5
Lattice="-3.050 1.167 4.414 -2.337 -4.389 -0.455 3.774 -2.344 3.227" Properties=species:S:1:pos:R:3 pbc="T T T"
Na 1.887 -1.172 1.614
Na -1.525 0.584 2.207
Zn 0.000 0.000 0.000
F -0.807 -2.783 3.593
V -1.169 -2.194 -0.227
```

Results
size of the total moment: 0.359 μB per formula unit
calculated total energy: -11.0 eV per cell

=====

Record 7
NaVZnF6 | PBE with a Hubbard U | relaxed

Geometry as extended XYZ:
```
18
Lattice="-0.253 5.010 1.911 -4.516 -2.738 -0.959 0.168 -3.484 9.156" Properties=species:S:1:pos:R:3 pbc="T T T"
Na 0.000 0.000 0.000
Na 0.084 -1.742 4.578
V -1.632 1.556 3.243
V -2.969 -2.768 6.865
Zn -3.053 -1.026 2.287
Zn -1.548 -0.186 7.822
F -3.007 1.016 1.918
F -1.817 3.490 2.838
F -4.440 -3.170 5.594
F -2.784 -4.702 7.270
F -1.624 -0.387 3.649
F -3.056 1.956 4.567
F -4.475 -2.516 8.133
F -0.161 1.958 4.514
F -1.545 -3.169 5.542
F -0.126 1.304 1.975
F -2.978 -0.825 6.460
F -1.594 -2.228 8.190
```

Results
size of the total moment: 2.000 μB per formula unit
calculated total energy: -90.9 eV per cell

=====

Record 8
Na2VZnF6 | PBE with a Hubbard U | relaxed

Geometry as extended XYZ:
```
20
Lattice="-1.925 4.399 -2.715 1.420 -2.458 -4.988 -7.184 -3.404 -0.367" Properties=species:S:1:pos:R:3 pbc="T T T"
Na -0.490 -3.092 -4.833
Na -5.588 -1.654 -4.464
Na -7.199 1.629 -3.238
Na -2.101 0.191 -3.607
V -0.963 2.199 -1.358
V -2.882 -2.931 -2.678
Zn -4.554 0.497 -1.541
Zn 0.710 -1.229 -2.494
F -0.017 -0.576 -4.308
F -4.415 -0.351 -6.402
F -7.672 -0.887 -3.763
F -3.275 -1.112 -1.669
F -2.760 -1.857 -4.502
F -7.176 -1.599 -6.528
F -4.929 0.394 -3.569
F -0.513 0.136 -1.543
F -2.704 1.722 -5.220
F -4.752 -3.185 -6.087
F -4.985 -3.185 -2.851
F -2.937 1.721 -1.984
```

Results
size of the total moment: 3.000 μB per formula unit
calculated total energy: -97.5 eV per cell

=====

Record 9
NaZr2VF11 | PBE with a Hubbard U | relaxed

Geometry as extended XYZ:
```
15
Lattice="5.795 -0.003 0.002 1.708 5.537 0.002 2.803 2.068 7.121" Properties=species:S:1:pos:R:3 pbc="T T T"
Na 0.000 0.000 0.000
Zr 5.925 4.371 5.454
Zr 4.380 3.231 1.670
V 1.401 1.034 3.560
F 4.593 5.889 4.932
F 3.323 4.952 2.193
F 5.712 1.714 2.193
F 6.982 2.651 4.932
F 5.153 3.801 3.562
F 4.446 1.826 0.002
F 3.057 3.709 0.002
F 2.875 2.121 2.511
F 7.431 5.482 4.614
F 4.495 3.316 6.339
F 5.811 4.287 0.786
```

Results
size of the total moment: 3.000 μB per formula unit
calculated total energy: -97.6 eV per cell

=====

Record 10
Na3WF7 | PBE with a Hubbard U | relaxed

Geometry as extended XYZ:
```
11
Lattice="4.980 -0.132 2.376 -1.273 4.816 2.376 -0.306 -0.386 6.209" Properties=species:S:1:pos:R:3 pbc="T T T"
Na 3.423 0.844 5.435
Na 1.752 2.215 2.667
Na 0.035 3.525 5.435
W 3.545 4.480 4.692
F 0.452 0.572 1.766
F 3.017 0.345 3.128
F 4.299 1.158 7.749
F -0.358 3.015 3.128
F 2.243 2.834 4.850
F 0.139 4.450 7.749
F 2.855 3.609 8.893
```

Results
size of the total moment: 2.000 μB per formula unit
calculated total energy: -55.1 eV per cell

=====

Record 11
NaWF2 | PBE with a Hubbard U | relaxed

Geometry as extended XYZ:
```
4
Lattice="-4.954 -4.943 1.729 -2.561 -6.591 1.401 -3.052 -5.213 3.933" Properties=species:S:1:pos:R:3 pbc="T T T"
Na -5.284 -8.373 3.532
W 0.000 0.000 0.000
F -9.513 -15.076 6.359
F -1.054 -1.670 0.704
```

Results
size of the total moment: 0.000 μB per formula unit
energy relative to the lowest polymorph listed for this composition: 0.000 eV per atom
calculated total energy: -18.2 eV per cell

=====

Record 12
Na2WF6 | PBE with a Hubbard U | relaxed

Geometry as extended XYZ:
```
18
Lattice="-1.896 -3.153 3.610 3.001 -3.808 -1.750 7.471 2.914 6.471" Properties=species:S:1:pos:R:3 pbc="T T T"
Na 2.496 0.974 2.162
Na 6.784 -1.050 6.327
Na 1.792 -2.997 2.003
Na 4.975 1.941 4.309
W 0.000 0.000 0.000
W 4.288 -2.023 4.165
F 2.994 -1.134 2.874
F 3.410 -3.760 3.575
F 8.463 -1.193 4.791
F 5.413 -0.786 8.129
F 3.163 -3.261 0.201
F 0.113 -2.853 3.539
F 5.166 -0.287 4.755
F 5.582 -2.912 5.457
F 0.304 -1.914 0.511
F 0.801 -5.047 1.348
F 5.634 -2.203 2.692
F 2.942 -1.843 5.639
```

Results
size of the total moment: 2.000 μB per formula unit
calculated total energy: -93.0 eV per cell

=====

Q: Which of these has the highest size of the total moment?
A: NaV3F9

=====

What did the sixth record say?
Na2VZnF | PBE with a Hubbard U | relaxed

Geometry as extended XYZ:
```
5
Lattice="-3.050 1.167 4.414 -2.337 -4.389 -0.455 3.774 -2.344 3.227" Properties=species:S:1:pos:R:3 pbc="T T T"
Na 1.887 -1.172 1.614
Na -1.525 0.584 2.207
Zn 0.000 0.000 0.000
F -0.807 -2.783 3.593
V -1.169 -2.194 -0.227
```

Results
size of the total moment: 0.359 μB per formula unit
calculated total energy: -11.0 eV per cell

=====

Q: Which formula does entry 2 have?
A: Na3VF6